# 1
The following is a DFT calculation (PBE) of Ag2SbTe after structural relaxation.

The value obtained for the electronic total energy is -0.1131 hartree per atom. As for the energy relative to the elements, uncorrected: 63 kJ/mol of formula units. The volume comes out at 23.863 A^3/atom. The calculation puts the energy above the most stable polymorph in this dataset at 134 meV per atom.

It has space group P4/mmm (No. 123), with a = 3.950 Å, b = 3.950 Å, c = 6.116 Å, α = 90.00°, β = 90.00° and γ = 90.00°. The distinct sites, in fractional coordinates, are Ag at (0.000, 0.000, 0.240), Sb at (0.500, 0.500, 0.000) and Te at (0.500, 0.500, 0.500).

***

# 2
The following is a DFT calculation (PBE) of ThAgSbTe after structural relaxation.

The value obtained for the electronic total energy is -0.1833 hartree per atom. As for the energy relative to the elements, uncorrected: -234 kJ/mol of formula units. The volume comes out at 26.513 A^3/atom.

It has space group P4/nmm (No. 129, origin choice 2), with a = 4.705 Å, b = 4.705 Å, c = 9.581 Å, α = 90.00°, β = 90.00° and γ = 90.00°. The distinct sites, in fractional coordinates, are Th at (0.250, 0.250, 0.229), Ag at (0.250, 0.750, 0.500), Sb at (0.250, 0.250, 0.681) and Te at (0.250, 0.750, 0.000).

***

# 3
The following is a DFT calculation (PBE) of TiAgSb2Te after structural relaxation.

The value obtained for the electronic total energy is -0.1533 hartree per atom. As for the energy relative to the elements, uncorrected: 123 kJ/mol of formula units. The volume comes out at 29.375 A^3/atom. The calculation puts the energy above the most stable polymorph in this dataset at 0 meV per atom.

It has space group P4/mmm (No. 123), with a = 5.278 Å, b = 5.278 Å, c = 5.273 Å, α = 90.00°, β = 90.00° and γ = 90.00°. The distinct sites, in fractional coordinates, are Ti at (0.000, 0.000, 0.000), Ag at (0.500, 0.500, 0.500), Sb at (0.000, 0.500, 0.000) and Te at (0.000, 0.000, 0.500).

***

# 4
The following is a DFT calculation (PBE) of TlAgSbTe2 after structural relaxation.

The value obtained for the electronic total energy is -0.1033 hartree per atom. As for the energy relative to the elements, uncorrected: 152 kJ/mol of formula units. The volume comes out at 33.819 A^3/atom. The calculation puts the energy above the most stable polymorph in this dataset at 365 meV per atom.

It has space group P4/mmm (No. 123), with a = 5.663 Å, b = 5.663 Å, c = 5.273 Å, α = 90.00°, β = 90.00° and γ = 90.00°. The distinct sites, in fractional coordinates, are Tl at (0.000, 0.000, 0.000), Ag at (0.500, 0.500, 0.500), Sb at (0.500, 0.500, 0.000) and Te at (0.000, 0.500, 0.500).

***

# 5
The following is a DFT calculation (PBE) of TlAgSbTe2 after structural relaxation.

The value obtained for the electronic total energy is -0.1167 hartree per atom. As for the energy relative to the elements, uncorrected: -24 kJ/mol of formula units. The volume comes out at 31.305 A^3/atom. The calculation puts the energy above the most stable polymorph in this dataset at 0 meV per atom.

It has space group P2/c (No. 13), with a = 8.238 Å, b = 4.300 Å, c = 8.838 Å, α = 90.00°, β = 90.26° and γ = 90.00°. The distinct sites, in fractional coordinates, are Tl at (0.000, 0.006, 0.250), Ag at (0.500, 0.000, 0.000), Sb at (0.500, 0.499, 0.750) and Te at (0.235, 0.453, 0.999).

***

# 6
The following is a DFT calculation (PBE) of Tl2Ag2SbTe4 after structural relaxation.

The value obtained for the electronic total energy is -0.1169 hartree per atom. As for the energy relative to the elements, uncorrected: -145 kJ/mol of formula units. The volume comes out at 31.029 A^3/atom.

It has space group C2/m (No. 12), with a = 16.793 Å, b = 4.325 Å, c = 8.337 Å, α = 90.00°, β = 112.73° and γ = 90.00°. The distinct sites, in fractional coordinates, are Tl at (0.132, 0.000, 0.072), Ag at (0.190, 0.500, 0.483), Sb at (0.000, 0.000, 0.500), Te at (0.013, 0.500, 0.248) and Te at (0.197, 0.000, 0.711).

***

# 7
The following is a DFT calculation (PBE) of VAgSb2Te after structural relaxation.

The value obtained for the electronic total energy is -0.1566 hartree per atom. As for the energy relative to the elements, uncorrected: 198 kJ/mol of formula units. The volume comes out at 27.289 A^3/atom. The calculation puts the energy above the most stable polymorph in this dataset at 0 meV per atom.

It has space group P4/mmm (No. 123), with a = 5.152 Å, b = 5.152 Å, c = 5.141 Å, α = 90.00°, β = 90.00° and γ = 90.00°. The distinct sites, in fractional coordinates, are V at (0.000, 0.000, 0.000), Ag at (0.500, 0.500, 0.500), Sb at (0.000, 0.500, 0.000) and Te at (0.000, 0.000, 0.500).

***

# 8
The following is a DFT calculation (PBE) of ZnAgSbTe2 after structural relaxation.

The value obtained for the electronic total energy is -0.0820 hartree per atom. As for the energy relative to the elements, uncorrected: 326 kJ/mol of formula units. The volume comes out at 32.375 A^3/atom. The calculation puts the energy above the most stable polymorph in this dataset at 110 meV per atom.

It has space group P4/mmm (No. 123), with a = 5.515 Å, b = 5.515 Å, c = 5.323 Å, α = 90.00°, β = 90.00° and γ = 90.00°. The distinct sites, in fractional coordinates, are Zn at (0.000, 0.000, 0.000), Ag at (0.500, 0.500, 0.500), Sb at (0.500, 0.500, 0.000) and Te at (0.000, 0.500, 0.500).

***

# 9
The following is a DFT calculation (PBE) of ZnAgSbTe2 after structural relaxation.

The value obtained for the electronic total energy is -0.0860 hartree per atom. As for the energy relative to the elements, uncorrected: 273 kJ/mol of formula units. The volume comes out at 29.882 A^3/atom. The calculation puts the energy above the most stable polymorph in this dataset at 0 meV per atom.

It has space group P4/mmm (No. 123), with a = 5.416 Å, b = 5.416 Å, c = 5.093 Å, α = 90.00°, β = 90.00° and γ = 90.00°. The distinct sites, in fractional coordinates, are Zn at (0.000, 0.000, 0.000), Ag at (0.500, 0.500, 0.500), Sb at (0.000, 0.000, 0.500) and Te at (0.000, 0.500, 0.000).

***

# 10
The following is a DFT calculation (PBE) of Zr2AgSbTe after structural relaxation.

The value obtained for the electronic total energy is -0.1820 hartree per atom. As for the energy relative to the elements, uncorrected: 236 kJ/mol of formula units. The volume comes out at 28.804 A^3/atom.

It has space group P4/mmm (No. 123), with a = 5.372 Å, b = 5.372 Å, c = 4.991 Å, α = 90.00°, β = 90.00° and γ = 90.00°. The distinct sites, in fractional coordinates, are Zr at (0.000, 0.500, 0.000), Ag at (0.000, 0.000, 0.500), Sb at (0.500, 0.500, 0.500) and Te at (0.000, 0.000, 0.000).